{
  "formula": "Ho12Ga6Os",
  "functional": "GGA-PBE",
  "state": "optimized geometry",
  "lattice": [[6.3650, 3.6749, 3.9645], [-6.3650, 3.6749, 3.9645], [0.0000, -7.3497, 3.9645]],
  "species": ["Ho", "Ho", "Ho", "Ho", "Ho", "Ho", "Ho", "Ho", "Ho", "Ho", "Ho", "Ho", "Ga", "Ga", "Ga", "Ga", "Ga", "Ga", "Os"],
  "frac_coords": [[0.0391, 0.6827, 0.9293], [0.0707, 0.9609, 0.3173], [0.1821, 0.4293, 0.5687], [0.3173, 0.0707, 0.9609], [0.4293, 0.5687, 0.1821], [0.4313, 0.8179, 0.5707], [0.5687, 0.1821, 0.4293], [0.5707, 0.4313, 0.8179], [0.6827, 0.9293, 0.0391], [0.8179, 0.5707, 0.4313], [0.9293, 0.0391, 0.6827], [0.9609, 0.3173, 0.0707], [0.1360, 0.6223, 0.3033], [0.3033, 0.1360, 0.6223], [0.3777, 0.6967, 0.8640], [0.6223, 0.3033, 0.1360], [0.6967, 0.8640, 0.3777], [0.8640, 0.3777, 0.6967], [0.0000, 0.0000, 0.0000]],
  "space_group": "No. 148",
  "dft_energy_ev_per_cell": -88.327,
  "magnetic_moment_mub_per_cell": 0.000,
  "rho_g_cm3": 7.7,
  "dos_ef_per_ev_fu": 19.65
}